1.
DFT (PBE-GGA) results for a relaxed structure of AgIr2W.

The structure in extended XYZ format:
```
4
Lattice="-3.1971 0.4642 0.5540 -0.3290 -3.1717 0.7588 1.1609 1.2348 5.6652" Properties=species:S:1:pos:R:3 pbc="T T T"
Ir 0.0193 0.0205 0.0940
Ir 0.5612 0.5969 2.7385
Ag -0.8924 -0.4276 4.9053
W -1.4728 -1.0450 2.0727
```

Summary:
E_tot in eV per cell: -32.6
ΔE to the lowest computed polymorph in meV/atom: 234
Density of states at the Fermi level in states/eV per atom: 0.821
SG: P4/mmm, No. 123
ρ in Mg/m³: 17.67
ΔE_f in meV/atom: 237

---

2.
DFT (PBE-GGA) results for a relaxed structure of Sm3Ge2Ru.

The structure in extended XYZ format:
```
24
Lattice="4.2470 0.0000 0.0000 0.0000 11.5060 0.0000 0.0000 0.0000 12.0056" Properties=species:S:1:pos:R:3 pbc="T T T"
Sm 1.0617 4.2853 0.6671
Sm 3.1852 7.2208 11.3385
Sm 3.1852 10.0383 5.3357
Sm 1.0617 1.4678 6.6699
Sm 1.0617 8.0894 2.6747
Sm 3.1852 3.4166 9.3309
Sm 3.1852 2.3364 3.3281
Sm 1.0617 9.1697 8.6774
Sm 1.0617 5.1330 4.5570
Sm 3.1852 6.3730 7.4486
Sm 3.1852 10.8861 1.4458
Sm 1.0617 0.6200 10.5598
Ge 1.0617 7.9209 5.8391
Ge 3.1852 3.5852 6.1664
Ge 3.1852 2.1679 0.1637
Ge 1.0617 9.3382 11.8419
Ge 1.0617 0.0433 3.7067
Ge 3.1852 11.4627 8.2989
Ge 3.1852 5.7963 2.2961
Ge 1.0617 5.7097 9.7095
Ru 1.0617 1.5238 1.5663
Ru 3.1852 9.9822 10.4393
Ru 3.1852 7.2769 4.4365
Ru 1.0617 4.2292 7.5691
```

Summary:
E_tot in eV per cell: -147.4
Density of states at the Fermi level in states/eV per atom: 0.726
SG: Pnma, No. 62
ρ in Mg/m³: 7.90
ΔE_f in meV/atom: -699